Version w
# CaAsWBr2

A relaxed structure of CaAsWBr2 (GGA-PBE, Alexandria).

```
5
Lattice="5.2469 0.0000 0.0000 0.0000 5.2469 0.0000 0.0000 0.0000 4.9413" Properties=species:S:1:pos:R:3 pbc="T T T"
Ca 0.0000 0.0000 0.0000
As 2.6235 2.6235 0.0000
W 2.6235 2.6235 2.4707
Br 0.0000 2.6235 2.4707
Br 2.6235 0.0000 2.4707
```

Results
Magnetization ... 1.76 μB/cell
Mass density ... 5.6 g/cm³


Version x
# CaAsWBr2

A relaxed structure of CaAsWBr2 (GGA-PBE, Alexandria).

```
5
Lattice="5.2783 0.0000 0.0000 0.0000 5.2783 0.0000 0.0000 0.0000 6.2574" Properties=species:S:1:pos:R:3 pbc="T T T"
Ca 0.0000 0.0000 0.0000
As 0.0000 0.0000 3.1287
W 2.6391 2.6391 3.1287
Br 0.0000 2.6391 0.0000
Br 2.6391 0.0000 0.0000
```

Results
Magnetization ... 3.00 μB/cell
Mass density ... 4.4 g/cm³


Top of the stability list: version w, leading by 0.811 eV/atom.


Version w
# CaYAsBr2

A relaxed structure of CaYAsBr2 (GGA-PBE, Alexandria).

```
5
Lattice="5.1898 0.0000 0.0000 0.0000 5.1898 0.0000 0.0000 0.0000 5.9943" Properties=species:S:1:pos:R:3 pbc="T T T"
Ca 0.0000 0.0000 0.0000
Y 2.5949 2.5949 2.9971
As 0.0000 0.0000 2.9971
Br 0.0000 2.5949 0.0000
Br 2.5949 0.0000 0.0000
```

Results
Magnetization ... 0.00 μB/cell
Mass density ... 3.7 g/cm³


Version x
# CaYAsBr2

A relaxed structure of CaYAsBr2 (GGA-PBE, Alexandria).

```
5
Lattice="5.4339 0.0000 0.0000 0.0000 5.4339 0.0000 0.0000 0.0000 5.7000" Properties=species:S:1:pos:R:3 pbc="T T T"
Ca 0.0000 0.0000 0.0000
Y 2.7170 2.7170 2.8500
As 2.7170 2.7170 0.0000
Br 0.0000 2.7170 2.8500
Br 2.7170 0.0000 2.8500
```

Results
Magnetization ... 0.00 μB/cell
Mass density ... 3.6 g/cm³


Top of the stability list: version x, leading by 0.353 eV/atom.


Version w
# CaZnAsBr2

A relaxed structure of CaZnAsBr2 (GGA-PBE, Alexandria).

```
5
Lattice="5.2548 0.0000 0.0000 0.0000 5.2548 0.0000 0.0000 0.0000 4.9778" Properties=species:S:1:pos:R:3 pbc="T T T"
Ca 0.0000 0.0000 0.0000
Zn 2.6274 2.6274 2.4889
As 2.6274 2.6274 0.0000
Br 0.0000 2.6274 2.4889
Br 2.6274 0.0000 2.4889
```

Results
Magnetization ... 0.90 μB/cell
Mass density ... 4.1 g/cm³


Version x
# CaZnAsBr2

A relaxed structure of CaZnAsBr2 (GGA-PBE, Alexandria).

```
5
Lattice="5.5458 0.0000 0.0000 0.0000 5.5458 0.0000 0.0000 0.0000 6.1644" Properties=species:S:1:pos:R:3 pbc="T T T"
Ca 0.0000 0.0000 0.0000
Zn 2.7729 2.7729 3.0822
As 0.0000 0.0000 3.0822
Br 0.0000 2.7729 0.0000
Br 2.7729 0.0000 0.0000
```

Results
Magnetization ... 2.01 μB/cell
Mass density ... 3.0 g/cm³


Top of the stability list: version w, leading by 0.176 eV/atom.


Version w
# CaZrAs2Br

A relaxed structure of CaZrAs2Br (GGA-PBE, Alexandria).

```
5
Lattice="5.3039 0.0000 0.0000 0.0000 5.3039 0.0000 0.0000 0.0000 5.1786" Properties=species:S:1:pos:R:3 pbc="T T T"
Ca 0.0000 0.0000 0.0000
Zr 2.6519 2.6519 2.5893
As 0.0000 2.6519 0.0000
As 2.6519 0.0000 0.0000
Br 0.0000 0.0000 2.5893
```

Results
Magnetization ... 0.81 μB/cell
Mass density ... 4.1 g/cm³


Version x
# CaZrAs2Br

A relaxed structure of CaZrAs2Br (GGA-PBE, Alexandria).

```
5
Lattice="5.2115 0.0000 0.0000 0.0000 5.2115 0.0000 0.0000 0.0000 5.3527" Properties=species:S:1:pos:R:3 pbc="T T T"
Ca 0.0000 0.0000 0.0000
Zr 2.6058 2.6058 2.6764
As 0.0000 2.6058 2.6764
As 2.6058 0.0000 2.6764
Br 2.6058 2.6058 0.0000
```

Results
Magnetization ... 0.00 μB/cell
Mass density ... 4.1 g/cm³


Top of the stability list: version x, leading by 1.053 eV/atom.


Version w
# CdAs2Br

A relaxed structure of CdAs2Br (GGA-PBE, Alexandria).

```
4
Lattice="3.7733 0.0000 0.0000 0.0000 5.0897 0.0000 -1.5937 0.0000 5.4020" Properties=species:S:1:pos:R:3 pbc="T T T"
Cd 0.0000 0.0000 0.0000
As -0.5955 2.5449 4.5475
As 2.7751 2.5449 0.8545
Br 1.0898 0.0000 2.7010
```

Results
Magnetization ... 0.00 μB/cell
Mass density ... 5.5 g/cm³


Version x
# CdAs2Br

A relaxed structure of CdAs2Br (GGA-PBE, Alexandria).

```
4
Lattice="6.3375 -1.8691 0.0000 6.3375 1.8691 0.0000 -0.4994 0.0000 4.5016" Properties=species:S:1:pos:R:3 pbc="T T T"
Cd 0.0000 0.0000 0.0000
As 2.6882 0.0000 0.6360
As 9.4875 0.0000 3.8656
Br 6.0879 0.0000 2.2508
```

Results
Magnetization ... 0.00 μB/cell
Mass density ... 5.3 g/cm³


Top of the stability list: version x, leading by 0.106 eV/atom.


Version w
# CdAs2Br

A relaxed structure of CdAs2Br (GGA-PBE, Alexandria).

```
4
Lattice="3.8651 0.0000 0.0000 0.0000 3.8651 0.0000 0.0000 0.0000 6.9982" Properties=species:S:1:pos:R:3 pbc="T T T"
Cd 0.0000 0.0000 0.0000
As 0.0000 1.9325 3.4991
As 1.9325 0.0000 3.4991
Br 1.9325 1.9325 0.0000
```

Results
Magnetization ... 0.00 μB/cell
Mass density ... 5.4 g/cm³


Version x
# CdAs2Br

A relaxed structure of CdAs2Br (GGA-PBE, Alexandria).

```
4
Lattice="-2.5021 2.5021 3.5264 2.5021 -2.5021 3.5264 2.5021 2.5021 -3.5264" Properties=species:S:1:pos:R:3 pbc="T T T"
Cd 0.0000 0.0000 0.0000
As 2.5021 0.0000 1.7632
As 0.0000 0.0000 3.5264
Br 0.0000 2.5021 1.7632
```

Results
Magnetization ... 0.00 μB/cell
Mass density ... 6.4 g/cm³


Top of the stability list: version w, leading by 0.130 eV/atom.


Version w
# CdAs2Br

A relaxed structure of CdAs2Br (GGA-PBE, Alexandria).

```
4
Lattice="3.7387 0.0000 0.0000 0.0000 3.7387 0.0000 0.0000 0.0000 8.1376" Properties=species:S:1:pos:R:3 pbc="T T T"
Cd 0.0000 0.0000 0.0000
As 0.0000 0.0000 2.6449
As 1.8694 1.8694 2.5337
Br 1.8694 1.8694 6.7812
```

Results
Magnetization ... 0.00 μB/cell
Mass density ... 5.0 g/cm³


Version x
# CdAs2Br

A relaxed structure of CdAs2Br (GGA-PBE, Alexandria).

```
8
Lattice="-2.7978 2.7978 7.6241 2.7978 -2.7978 7.6241 2.7978 2.7978 -7.6241" Properties=species:S:1:pos:R:3 pbc="T T T"
Cd 0.0000 0.0000 0.0000
Cd 0.0000 2.7978 3.8121
As 4.1967 1.2808 -1.9060
As 1.2808 1.3989 1.9060
As -1.3989 1.5170 5.7181
As 1.5170 1.3989 9.5302
Br 2.7978 0.0000 3.8121
Br 0.0000 0.0000 7.6241
```

Results
Magnetization ... 0.00 μB/cell
Mass density ... 4.8 g/cm³


Top of the stability list: version w, leading by 0.532 eV/atom.


Version w
# CdAsBr

A relaxed structure of CdAsBr (GGA-PBE, Alexandria).

```
3
Lattice="0.0000 3.4702 3.4702 3.4702 0.0000 3.4702 3.4702 3.4702 0.0000" Properties=species:S:1:pos:R:3 pbc="T T T"
Cd 0.0000 0.0000 0.0000
As 5.2053 5.2053 5.2053
Br 3.4702 3.4702 3.4702
```

Results
Magnetization ... 0.00 μB/cell
Mass density ... 5.3 g/cm³


Version x
# CdAsBr

A relaxed structure of CdAsBr (GGA-PBE, Alexandria).

```
3
Lattice="-2.0000 2.0000 5.7181 2.0000 -2.0000 5.7181 2.0000 2.0000 -5.7181" Properties=species:S:1:pos:R:3 pbc="T T T"
Cd 0.0000 0.0000 0.0000
As 0.0000 0.0000 5.5444
Br 0.0000 0.0000 3.0817
```

Results
Magnetization ... 0.00 μB/cell
Mass density ... 4.9 g/cm³


Top of the stability list: version x, leading by 0.382 eV/atom.


Version w
# CdAsBr

A relaxed structure of CdAsBr (GGA-PBE, Alexandria).

```
3
Lattice="0.0000 2.7573 6.7633 2.0237 0.0000 6.7633 2.0237 2.7573 0.0000" Properties=species:S:1:pos:R:3 pbc="T T T"
Cd 0.0000 0.0000 0.0000
As 2.0237 2.7573 4.8097
Br 2.0237 2.7573 8.6724
```

Results
Magnetization ... 0.00 μB/cell
Mass density ... 5.9 g/cm³


Version x
# CdAsBr

A relaxed structure of CdAsBr (GGA-PBE, Alexandria).

```
3
Lattice="3.5626 0.0000 0.0000 -1.7813 3.0853 0.0000 0.0000 0.0000 7.5815" Properties=species:S:1:pos:R:3 pbc="T T T"
Cd 0.0000 0.0000 0.0000
As 1.7813 1.0284 2.0365
Br 0.0000 2.0569 5.7117
```

Results
Magnetization ... 0.00 μB/cell
Mass density ... 5.3 g/cm³


Top of the stability list: version x, leading by 0.079 eV/atom.


Version w
# Cd2AsBr

A relaxed structure of Cd2AsBr (GGA-PBE, Alexandria).

```
4
Lattice="7.5090 -1.9587 0.0000 7.5090 1.9587 0.0000 -0.0036 0.0000 3.9343" Properties=species:S:1:pos:R:3 pbc="T T T"
Cd 0.0000 0.0000 0.0000
Cd 10.1944 0.0000 1.9532
As 2.6029 0.0000 3.9204
Br 6.3113 0.0000 1.9463
```

Results
Magnetization ... 0.00 μB/cell
Mass density ... 5.4 g/cm³


Version x
# Cd2AsBr

A relaxed structure of Cd2AsBr (GGA-PBE, Alexandria).

```
4
Lattice="6.7178 -1.5421 0.0000 6.7178 1.5421 0.0000 -1.4848 0.0000 4.8320" Properties=species:S:1:pos:R:3 pbc="T T T"
Cd 2.4085 0.0000 1.0635
Cd 9.5424 0.0000 3.7685
As 6.7178 0.0000 0.0000
Br -0.7424 0.0000 2.4160
```

Results
Magnetization ... 0.00 μB/cell
Mass density ... 6.3 g/cm³


Top of the stability list: version w, leading by 0.396 eV/atom.


Version w
# Cd2AsBr2

A relaxed structure of Cd2AsBr2 (GGA-PBE, Alexandria).

```
5
Lattice="-2.5878 2.5878 5.6579 2.5878 -2.5878 5.6579 2.5878 2.5878 -5.6579" Properties=species:S:1:pos:R:3 pbc="T T T"
Cd 0.0000 0.0000 1.3609
Cd 0.0000 0.0000 9.9549
As 0.0000 0.0000 5.6579
Br 2.5878 0.0000 2.8290
Br 0.0000 2.5878 2.8290
```

Results
Magnetization ... 2.97 μB/cell
Mass density ... 5.0 g/cm³


Version x
# Cd2AsBr2

A relaxed structure of Cd2AsBr2 (GGA-PBE, Alexandria).

```
10
Lattice="7.8475 0.0000 0.0000 0.0000 7.8475 0.0000 0.0000 0.0000 5.1306" Properties=species:S:1:pos:R:3 pbc="T T T"
Cd 1.9337 1.9901 0.0000
Cd 1.9901 5.9138 0.0000
Cd 5.8574 1.9337 0.0000
Cd 5.9138 5.8574 0.0000
As 0.0000 0.0000 0.0000
As 3.9237 3.9237 0.0000
Br 1.2347 2.6891 2.5653
Br 2.6891 6.6128 2.5653
Br 5.1584 1.2347 2.5653
Br 6.6128 5.1584 2.5653
```

Results
Magnetization ... 1.95 μB/cell
Mass density ... 4.8 g/cm³


Top of the stability list: version x, leading by 0.220 eV/atom.


Version w
# CdAsBr2Cl

A relaxed structure of CdAsBr2Cl (GGA-PBE, Alexandria).

```
5
Lattice="5.2100 0.0000 0.0000 0.0000 5.2100 0.0000 0.0000 0.0000 5.3475" Properties=species:S:1:pos:R:3 pbc="T T T"
Cd 0.0000 0.0000 0.0000
As 2.6050 2.6050 0.0000
Br 0.0000 2.6050 2.6737
Br 2.6050 0.0000 2.6737
Cl 2.6050 2.6050 2.6737
```

Results
Magnetization ... 0.40 μB/cell
Mass density ... 4.4 g/cm³


Version x
# CdAsBr2Cl

A relaxed structure of CdAsBr2Cl (GGA-PBE, Alexandria).

```
5
Lattice="5.2691 0.0000 0.0000 0.0000 5.2691 0.0000 0.0000 0.0000 5.6713" Properties=species:S:1:pos:R:3 pbc="T T T"
Cd 0.0000 0.0000 0.0000
As 0.0000 0.0000 2.8356
Br 0.0000 2.6345 0.0000
Br 2.6345 0.0000 0.0000
Cl 2.6345 2.6345 2.8356
```

Results
Magnetization ... 0.75 μB/cell
Mass density ... 4.0 g/cm³


Top of the stability list: version x, leading by 0.269 eV/atom.


Version w
# CdCoAsBr2

A relaxed structure of CdCoAsBr2 (GGA-PBE, Alexandria).

```
5
Lattice="5.4594 0.0000 0.0000 0.0000 5.4594 0.0000 0.0000 0.0000 5.3149" Properties=species:S:1:pos:R:3 pbc="T T T"
Cd 0.0000 0.0000 0.0000
Co 2.7297 2.7297 2.6574
As 0.0000 0.0000 2.6574
Br 0.0000 2.7297 0.0000
Br 2.7297 0.0000 0.0000
```

Results
Magnetization ... 4.02 μB/cell
Mass density ... 4.3 g/cm³


Version x
# CdCoAsBr2

A relaxed structure of CdCoAsBr2 (GGA-PBE, Alexandria).

```
5
Lattice="5.1206 0.0000 0.0000 0.0000 5.1206 0.0000 0.0000 0.0000 4.4881" Properties=species:S:1:pos:R:3 pbc="T T T"
Cd 0.0000 0.0000 0.0000
Co 2.5603 2.5603 2.2440
As 2.5603 2.5603 0.0000
Br 0.0000 2.5603 2.2440
Br 2.5603 0.0000 2.2440
```

Results
Magnetization ... 0.00 μB/cell
Mass density ... 5.7 g/cm³


Top of the stability list: version x, leading by 0.723 eV/atom.


Version w
# CdCoAs2Br

A relaxed structure of CdCoAs2Br (GGA-PBE, Alexandria).

```
5
Lattice="4.5115 0.0000 0.0000 0.0000 4.5115 0.0000 0.0000 0.0000 5.5278" Properties=species:S:1:pos:R:3 pbc="T T T"
Cd 0.0000 0.0000 0.0000
Co 2.2557 2.2557 2.7639
As 0.0000 2.2557 2.7639
As 2.2557 0.0000 2.7639
Br 2.2557 2.2557 0.0000
```

Results
Magnetization ... 0.00 μB/cell
Mass density ... 5.9 g/cm³


Version x
# CdCoAs2Br

A relaxed structure of CdCoAs2Br (GGA-PBE, Alexandria).

```
5
Lattice="5.1468 0.0000 0.0000 0.0000 5.1468 0.0000 0.0000 0.0000 5.5386" Properties=species:S:1:pos:R:3 pbc="T T T"
Cd 0.0000 0.0000 0.0000
Co 2.5734 2.5734 2.7693
As 0.0000 2.5734 0.0000
As 2.5734 0.0000 0.0000
Br 0.0000 0.0000 2.7693
```

Results
Magnetization ... 3.62 μB/cell
Mass density ... 4.5 g/cm³


Top of the stability list: version w, leading by 0.941 eV/atom.